[1]
{"formula": "Sr3Ce2UP6", "functional": "PBE", "state": "optimized geometry", "cell": [[3.635, -6.294, 0.000], [3.635, 6.294, 0.000], [-2.426, 0.000, 6.927]], "species": ["Sr", "Sr", "Sr", "Ce", "Ce", "U", "P", "P", "P", "P", "P", "P"], "frac_coords": [[0.000, 0.000, 0.000], [0.332, 0.668, 0.000], [0.668, 0.332, 0.000], [0.166, 0.834, 0.500], [0.834, 0.166, 0.500], [0.500, 0.500, 0.500], [0.107, 0.428, 0.284], [0.252, 0.252, 0.715], [0.428, 0.107, 0.284], [0.572, 0.893, 0.716], [0.748, 0.748, 0.285], [0.893, 0.572, 0.716]], "spacegroup": "C2/m (12)"}

[2]
{"formula": "SrCe2UP4", "functional": "PBE", "state": "optimized geometry", "cell": [[5.811, 0.000, 0.000], [0.000, 5.811, 0.000], [0.000, 0.000, 11.659]], "species": ["Sr", "Sr", "Ce", "Ce", "Ce", "Ce", "U", "U", "P", "P", "P", "P", "P", "P", "P", "P"], "frac_coords": [[0.000, 0.000, 0.000], [0.500, 0.500, 0.500], [0.000, 0.000, 0.500], [0.000, 0.500, 0.250], [0.500, 0.000, 0.750], [0.500, 0.500, 0.000], [0.000, 0.500, 0.750], [0.500, 0.000, 0.250], [0.000, 0.000, 0.258], [0.000, 0.000, 0.742], [0.000, 0.500, 0.510], [0.000, 0.500, 0.990], [0.500, 0.000, 0.010], [0.500, 0.000, 0.490], [0.500, 0.500, 0.242], [0.500, 0.500, 0.758]], "spacegroup": "I-4m2 (119)"}

[3]
{"formula": "SrCe2YP4", "functional": "PBE", "state": "optimized geometry", "cell": [[7.132, 0.000, 0.000], [0.000, 4.137, 0.000], [-2.402, 0.000, 6.796]], "species": ["Sr", "Ce", "Ce", "Y", "P", "P", "P", "P"], "frac_coords": [[0.000, 0.000, 0.000], [0.500, 0.000, 0.500], [0.500, 0.500, 0.000], [0.000, 0.500, 0.500], [0.256, 0.000, 0.741], [0.268, 0.500, 0.268], [0.732, 0.500, 0.732], [0.744, 0.000, 0.259]], "spacegroup": "P2/m (10)"}

[4]
{"formula": "TbCeP", "functional": "PBE", "state": "optimized geometry", "cell": [[6.755, 0.000, 0.000], [0.000, 6.755, 0.000], [0.000, 0.000, 6.755]], "species": ["Tb", "Tb", "Tb", "Tb", "Ce", "Ce", "Ce", "Ce", "P", "P", "P", "P"], "frac_coords": [[0.000, 0.000, 0.000], [0.000, 0.500, 0.500], [0.500, 0.000, 0.500], [0.500, 0.500, 0.000], [0.000, 0.000, 0.500], [0.000, 0.500, 0.000], [0.500, 0.000, 0.000], [0.500, 0.500, 0.500], [0.250, 0.250, 0.750], [0.250, 0.750, 0.250], [0.750, 0.250, 0.250], [0.750, 0.750, 0.750]], "spacegroup": "F-43m (216)"}

[5]
{"formula": "TbCeP", "functional": "PBE", "state": "optimized geometry", "cell": [[3.524, 0.000, 0.000], [0.000, 24.680, 0.000], [0.000, 0.000, 3.531]], "species": ["Tb", "Tb", "Tb", "Tb", "Ce", "Ce", "Ce", "Ce", "P", "P", "P", "P"], "frac_coords": [[0.000, 0.193, 0.250], [0.000, 0.807, 0.750], [0.500, 0.307, 0.750], [0.500, 0.693, 0.250], [0.000, 0.064, 0.250], [0.000, 0.936, 0.750], [0.500, 0.436, 0.750], [0.500, 0.564, 0.250], [0.000, 0.372, 0.250], [0.000, 0.628, 0.750], [0.500, 0.128, 0.750], [0.500, 0.872, 0.250]], "spacegroup": "Cmcm (63)"}

[6]
{"formula": "TbCeP", "functional": "PBE", "state": "optimized geometry", "cell": [[3.899, 0.000, 0.000], [-1.949, 3.376, 0.000], [0.000, 0.000, 6.536]], "species": ["Tb", "Ce", "P"], "frac_coords": [[0.000, 0.000, 0.000], [0.667, 0.333, 0.508], [0.333, 0.667, 0.250]], "spacegroup": "P3m1 (156)"}

[7]
{"formula": "Tb3CeP4", "functional": "PBE", "state": "optimized geometry", "cell": [[8.081, 0.000, 0.000], [0.000, 11.416, 0.000], [0.000, 0.000, 4.042]], "species": ["Tb", "Tb", "Tb", "Tb", "Tb", "Tb", "Ce", "Ce", "P", "P", "P", "P", "P", "P", "P", "P"], "frac_coords": [[0.000, 0.000, 0.000], [0.250, 0.250, 0.500], [0.250, 0.750, 0.500], [0.500, 0.500, 0.000], [0.750, 0.250, 0.500], [0.750, 0.750, 0.500], [0.000, 0.500, 0.000], [0.500, 0.000, 0.000], [0.000, 0.250, 0.000], [0.000, 0.750, 0.000], [0.249, 0.000, 0.500], [0.251, 0.500, 0.500], [0.500, 0.250, 0.000], [0.500, 0.750, 0.000], [0.749, 0.500, 0.500], [0.751, 0.000, 0.500]], "de_polymorph_ev_per_atom": 0.000, "spacegroup": "Cmmm (65)"}

[8]
{"formula": "TbCe4P5", "functional": "PBE", "state": "optimized geometry", "cell": [[-4.559, 4.559, 2.884], [4.559, -4.559, 2.884], [4.559, 4.559, -2.884]], "species": ["Tb", "Ce", "Ce", "Ce", "Ce", "P", "P", "P", "P", "P"], "frac_coords": [[0.000, 0.000, 0.000], [0.201, 0.600, 0.800], [0.400, 0.201, 0.601], [0.600, 0.799, 0.399], [0.799, 0.400, 0.200], [0.100, 0.299, 0.399], [0.299, 0.900, 0.199], [0.500, 0.500, 0.000], [0.701, 0.100, 0.801], [0.900, 0.701, 0.601]], "spacegroup": "I4/m (87)"}

[9]
{"formula": "TbCeP", "functional": "PBE", "state": "optimized geometry", "cell": [[3.560, 0.000, 0.000], [0.000, 3.560, 0.000], [0.000, 0.000, 12.095]], "species": ["Tb", "Tb", "Ce", "Ce", "P", "P"], "frac_coords": [[0.000, 0.000, 0.000], [0.500, 0.500, 0.500], [0.000, 0.000, 0.741], [0.500, 0.500, 0.241], [0.000, 0.000, 0.373], [0.500, 0.500, 0.873]], "spacegroup": "I4mm (107)"}

[10]
{"formula": "TbCe5P6", "functional": "PBE", "state": "optimized geometry", "cell": [[3.534, -6.121, 0.000], [3.534, 6.121, 0.000], [-2.356, 0.000, 6.662]], "species": ["Tb", "Ce", "Ce", "Ce", "Ce", "Ce", "P", "P", "P", "P", "P", "P"], "frac_coords": [[0.000, 0.000, 0.000], [0.167, 0.833, 0.500], [0.333, 0.667, 0.000], [0.500, 0.500, 0.500], [0.667, 0.333, 0.000], [0.833, 0.167, 0.500], [0.083, 0.415, 0.249], [0.249, 0.249, 0.750], [0.415, 0.083, 0.249], [0.585, 0.917, 0.751], [0.751, 0.751, 0.250], [0.917, 0.585, 0.751]], "spacegroup": "C2/m (12)"}

[11]
{"formula": "Tb5CeP6", "functional": "PBE", "state": "optimized geometry", "cell": [[3.492, -6.049, 0.000], [3.492, 6.049, 0.000], [-2.327, 0.000, 6.589]], "species": ["Tb", "Tb", "Tb", "Tb", "Tb", "Ce", "P", "P", "P", "P", "P", "P"], "frac_coords": [[0.000, 0.000, 0.000], [0.167, 0.833, 0.500], [0.333, 0.667, 0.000], [0.667, 0.333, 0.000], [0.833, 0.167, 0.500], [0.500, 0.500, 0.500], [0.085, 0.417, 0.250], [0.251, 0.251, 0.749], [0.417, 0.085, 0.250], [0.583, 0.915, 0.750], [0.749, 0.749, 0.251], [0.915, 0.583, 0.750]], "spacegroup": "C2/m (12)"}

[12]
{"formula": "TbCe2P3", "functional": "PBE", "state": "optimized geometry", "cell": [[5.756, 0.000, 0.000], [0.000, 12.201, 0.000], [0.000, 0.000, 8.136]], "species": ["Tb", "Tb", "Tb", "Tb", "Ce", "Ce", "Ce", "Ce", "Ce", "Ce", "Ce", "Ce", "P", "P", "P", "P", "P", "P", "P", "P", "P", "P", "P", "P"], "frac_coords": [[0.250, 0.083, 0.124], [0.250, 0.417, 0.624], [0.750, 0.583, 0.376], [0.750, 0.917, 0.876], [0.250, 0.083, 0.626], [0.250, 0.417, 0.126], [0.251, 0.749, 0.125], [0.251, 0.751, 0.625], [0.749, 0.249, 0.375], [0.749, 0.251, 0.875], [0.750, 0.583, 0.874], [0.750, 0.917, 0.374], [0.249, 0.250, 0.375], [0.249, 0.250, 0.875], [0.250, 0.583, 0.376], [0.250, 0.583, 0.873], [0.250, 0.917, 0.373], [0.250, 0.917, 0.876], [0.750, 0.083, 0.124], [0.750, 0.083, 0.627], [0.750, 0.417, 0.127], [0.750, 0.417, 0.624], [0.751, 0.750, 0.125], [0.751, 0.750, 0.625]], "spacegroup": "P2_1/c (14)"}

Number 1: calculated total energy -75.2 eV for the cell shown, formation energy from the elements -14.564 eV per formula unit. Number 2: calculated total energy -112.0 eV for the cell shown, formation energy from the elements -9.539 eV per formula unit. Number 3: calculated total energy -52.9 eV for the cell shown, formation energy from the elements -11.236 eV per formula unit. Number 4: calculated total energy -73.0 eV for the cell shown, formation energy from the elements -2.269 eV per formula unit. Number 5: calculated total energy -72.3 eV for the cell shown, formation energy from the elements -2.106 eV per formula unit. Number 6: calculated total energy -18.6 eV for the cell shown, formation energy from the elements -2.586 eV per formula unit. Number 7: calculated total energy -108.4 eV for the cell shown, formation energy from the elements -12.718 eV per formula unit. Number 8: calculated total energy -70.6 eV for the cell shown, formation energy from the elements -15.195 eV per formula unit. Number 9: calculated total energy -36.2 eV for the cell shown, formation energy from the elements -2.147 eV per formula unit. Number 10: calculated total energy -84.9 eV for the cell shown, formation energy from the elements -18.190 eV per formula unit. Number 11: calculated total energy -80.8 eV for the cell shown, formation energy from the elements -19.230 eV per formula unit. Number 12: calculated total energy -167.7 eV for the cell shown, formation energy from the elements -9.203 eV per formula unit.